Entry from the Alexandria database: an optimized crystal structure of AgTeS2Cl (GGA-PBE).

The space group is P2_1/m (No. 11) and the conventional cell measures 6.0306, 5.5075 and 7.9794 Å, with angles of 90.00, 101.23 and 90.00 degrees. The inequivalent atoms are Ag at (0.1795, 0.2500, 0.4192), Te at (0.1595, 0.2500, 0.8917), S at (0.0856, 0.7500, 0.3822), S at (0.1386, 0.7500, 0.9426) and Cl at (0.4866, 0.2500, 0.2554).

As for the energy above the most stable polymorph in this dataset: 0.0 meV per atom.

Entry from the Alexandria database: an optimized crystal structure of LuNpIrRh (GGA-PBE).

The space group is F-43m (No. 216) and the conventional cell measures 6.7775, 6.7775 and 6.7775 Å, with angles of 90.00, 90.00 and 90.00 degrees. The inequivalent atoms are Lu at (0.0000, 0.0000, 0.0000), Np at (0.0000, 0.0000, 0.5000), Ir at (0.2500, 0.2500, 0.7500) and Rh at (0.2500, 0.2500, 0.2500).

The formation enthalpy at 0 K comes out at -0.586 eV per atom.

Entry from the Alexandria database: an optimized crystal structure of Pd4Au3 (GGA-PBE).

The space group is Immm (No. 71) and the conventional cell measures 2.8491, 4.0210 and 20.1404 Å, with angles of 90.00, 90.00 and 90.00 degrees. The inequivalent atoms are Pd at (0.0000, 0.0000, 0.0720), Pd at (0.0000, 0.0000, 0.2152), Au at (0.0000, 0.0000, 0.3557) and Au at (0.0000, 0.0000, 0.5000).

As for the energy above the most stable polymorph in this dataset: 0.0 meV per atom. The formation enthalpy at 0 K comes out at -0.064 eV per atom.

Entry from the Alexandria database: an optimized crystal structure of Tb3Sm5Tm2 (GGA-PBE).

The space group is Ibam (No. 72) and the conventional cell measures 9.3737, 13.6069 and 10.9464 Å, with angles of 90.00, 90.00 and 90.00 degrees. The inequivalent atoms are Tb at (0.0000, 0.0000, 0.2500), Tb at (0.2478, 0.3753, 0.0000), Sm at (0.0000, 0.2485, 0.2500), Sm at (0.0000, 0.5000, 0.2500), Sm at (0.1033, 0.3743, 0.5000) and Tm at (0.0839, 0.1224, 0.0000).

As for the energy above the most stable polymorph in this dataset: 196.5 meV per atom. The formation enthalpy at 0 K comes out at 0.386 eV per atom.

Entry from the Alexandria database: an optimized crystal structure of NiIr7Rh4 (GGA-PBE).

The space group is P-1 (No. 2) and the conventional cell measures 4.7050, 5.4396 and 6.8430 Å, with angles of 89.97, 76.73 and 89.91 degrees. The inequivalent atoms are Ni at (0.0000, 0.0000, 0.0000), Ir at (0.0000, 0.5000, 0.0000), Ir at (0.2197, 0.0010, 0.3312), Ir at (0.2750, 0.7548, 0.6701), Ir at (0.4964, 0.7532, 0.9985), Rh at (0.2236, 0.4994, 0.3293) and Rh at (0.2782, 0.2478, 0.6690).

The formation enthalpy at 0 K comes out at 0.026 eV per atom.

Entry from the Alexandria database: an optimized crystal structure of Ba2Mg5Tl12 (GGA-PBE).

The space group is R-3m (No. 166, hexagonal axes) and the conventional cell measures 10.8619, 10.8619 and 16.6165 Å, with angles of 90.00, 90.00 and 120.00 degrees. The inequivalent atoms are Ba at (0.0000, 0.0000, 0.1536), Mg at (0.0000, 0.0000, 0.4014), Mg at (0.0000, 0.5000, 0.0000), Tl at (0.0000, 0.2925, 0.5000) and Tl at (0.0133, 0.5067, 0.3502).

The formation enthalpy at 0 K comes out at -0.122 eV per atom.

Entry from the Alexandria database: an optimized crystal structure of MgGa3C (GGA-PBE).

The space group is Pm-3m (No. 221) and the conventional cell measures 4.4284, 4.4284 and 4.4284 Å, with angles of 90.00, 90.00 and 90.00 degrees. The inequivalent atoms are Mg at (0.0000, 0.0000, 0.0000), Ga at (0.0000, 0.5000, 0.5000) and C at (0.5000, 0.5000, 0.5000).

As for the energy above the most stable polymorph in this dataset: 0.0 meV per atom. The formation enthalpy at 0 K comes out at 0.655 eV per atom.

Entry from the Alexandria database: an optimized crystal structure of CuNiAg2 (GGA-PBE).

The space group is I4/mmm (No. 139) and the conventional cell measures 3.9910, 3.9910 and 7.3529 Å, with angles of 90.00, 90.00 and 90.00 degrees. The inequivalent atoms are Cu at (0.0000, 0.0000, 0.0000), Ni at (0.0000, 0.0000, 0.5000) and Ag at (0.0000, 0.5000, 0.2500).

As for the energy above the most stable polymorph in this dataset: 71.2 meV per atom. The formation enthalpy at 0 K comes out at 0.202 eV per atom.

Entry from the Alexandria database: an optimized crystal structure of CsTe2Cl (GGA-PBE).

The space group is R-3m (No. 166, hexagonal axes) and the conventional cell measures 5.4455, 5.4455 and 20.1716 Å, with angles of 90.00, 90.00 and 120.00 degrees. The inequivalent atoms are Cs at (0.0000, 0.0000, 0.0000), Te at (0.0000, 0.0000, 0.1806) and Cl at (0.0000, 0.0000, 0.5000).

As for the energy above the most stable polymorph in this dataset: 258.1 meV per atom.

Entry from the Alexandria database: an optimized crystal structure of UIr2S5 (GGA-PBE).

The space group is Fmmm (No. 69) and the conventional cell measures 5.3415, 10.9491 and 13.8471 Å, with angles of 90.00, 90.00 and 90.00 degrees. The inequivalent atoms are U at (0.0000, 0.0000, 0.0000), Ir at (0.0000, 0.2161, 0.5000), S at (0.0000, 0.0000, 0.5000) and S at (0.0000, 0.1579, 0.1326).

Entry from the Alexandria database: an optimized crystal structure of Cs4HSeCl (GGA-PBE).

The space group is I4mm (No. 107) and the conventional cell measures 5.6112, 5.6112 and 18.9364 Å, with angles of 90.00, 90.00 and 90.00 degrees. The inequivalent atoms are Cs at (0.0000, 0.0000, 0.0000), Cs at (0.0000, 0.0000, 0.3609), Cs at (0.0000, 0.5000, 0.1920), H at (0.0000, 0.0000, 0.1570), Se at (0.0000, 0.0000, 0.8154) and Cl at (0.0000, 0.0000, 0.5435).

Entry from the Alexandria database: an optimized crystal structure of Rb2CdBi3Pb4 (GGA-PBE).

The space group is P-4m2 (No. 115) and the conventional cell measures 5.4047, 5.4047 and 13.4970 Å, with angles of 90.00, 90.00 and 90.00 degrees. The inequivalent atoms are Rb at (0.0000, 0.5000, 0.2386), Cd at (0.5000, 0.5000, 0.0000), Bi at (0.0000, 0.0000, 0.0000), Bi at (0.0000, 0.5000, 0.6408), Pb at (0.0000, 0.0000, 0.5000), Pb at (0.0000, 0.5000, 0.8774) and Pb at (0.5000, 0.5000, 0.5000).

The formation enthalpy at 0 K comes out at -0.130 eV per atom.

The VASP energy results, record by record, are as follows: -3.3422; -9.0048; -4.4354; -4.2567; -8.0748; -2.2386; -3.3249; -3.6933; -2.7385; -6.4581; -2.7460; -3.0624 eV per atom.